# 1
GGA-PBE Ca4MgZn2Cd, relaxed; electronic total energy = -1.840 eV per atom; density of states at the Fermi level = 0.84 states/eV per atom; energy relative to the elements = -207.0 meV/atom; space group = R-3m, No. 166
1.0
-2.294 2.907 3.888
-4.894 -1.296 1.789
1.191 -4.694 7.919
Ca Zn Mg Cd
4 2 1 1
Direct
0.873 0.873 0.382
0.377 0.377 0.868
0.127 0.127 0.618
0.623 0.623 0.132
0.254 0.254 0.238
0.746 0.746 0.762
0.000 0.000 0.000
0.500 0.500 0.500

---

# 2
GGA-PBE Ho6Tm3Cd, relaxed; electronic total energy = -4.215 eV per atom; density of states at the Fermi level = 1.61 states/eV per atom; energy relative to the elements = -34.9 meV/atom; E above lowest polymorph = 0.00 kcal/mol of atoms; space group = P2_1/m, No. 11
1.0
5.522 0.000 0.000
0.000 9.217 -2.086
0.000 -1.817 12.168
Tm Ho Cd
6 12 2
Direct
0.250 0.397 0.778
0.250 0.772 0.971
0.750 0.603 0.222
0.750 0.228 0.029
0.750 0.472 0.633
0.250 0.528 0.367
0.750 0.538 0.931
0.250 0.849 0.297
0.250 0.243 0.488
0.250 0.074 0.861
0.750 0.151 0.703
0.750 0.757 0.512
0.250 0.153 0.174
0.750 0.847 0.826
0.750 0.926 0.139
0.250 0.462 0.069
0.750 0.314 0.334
0.250 0.686 0.666
0.750 0.034 0.418
0.250 0.966 0.582